[1]
# In2Au13 | Alexandria via LeMat-Bulk | PBE | optimized geometry
# spin magnetization: 0.00 μB/atom
# Fermi-level density of states: 3.91 states/eV/f.u.
# energy above the most stable polymorph in this dataset: 98 meV/atom
# energy of formation: 0.07 eV per atom
data_In2Au13
_chemical_formula_sum 'In6 Au39'
_symmetry_space_group_name_H-M 'R -3 m'
_symmetry_Int_Tables_number 166
_symmetry_space_group_name_Hall '-R 3 2"'
_cell_length_a 7.3804
_cell_length_b 7.3804
_cell_length_c 21.4009
_cell_angle_alpha 90.00
_cell_angle_beta 90.00
_cell_angle_gamma 120.00
loop_
_atom_site_label
_atom_site_type_symbol
_atom_site_fract_x
_atom_site_fract_y
_atom_site_fract_z
In1 In 0.0000 0.0000 0.1340
Au1 Au 0.0000 0.0000 0.0000
Au2 Au 0.0769 0.5384 0.4260
Au3 Au 0.0846 0.5423 0.2909

=====

[2]
# Pu3Au5S12 | Alexandria via LeMat-Bulk | PBE | optimized geometry
# spin magnetization: 0.61 μB/atom
# formation energy from raw total energies: -477 meV per atom
# Fermi-level density of states: 28.71 states/eV/f.u.
data_Pu3Au5S12
_chemical_formula_sum 'Pu24 Au40 S96'
_symmetry_space_group_name_H-M 'I a -3 d'
_symmetry_Int_Tables_number 230
_symmetry_space_group_name_Hall '-I 4bd 2c 3'
_cell_length_a 15.217
_cell_length_b 15.217
_cell_length_c 15.217
_cell_angle_alpha 90.00
_cell_angle_beta 90.00
_cell_angle_gamma 90.00
loop_
_atom_site_label
_atom_site_type_symbol
_atom_site_fract_x
_atom_site_fract_y
_atom_site_fract_z
Pu1 Pu 0.000 0.250 0.125
Au1 Au 0.000 0.000 0.000
Au2 Au 0.000 0.250 0.375
S1 S 0.019 0.066 0.650

=====

[3]
# Ce2ZnCu3Si4 | Alexandria via LeMat-Bulk | PBE | optimized geometry
# spin magnetization: 0.08 μB/atom
# formation energy from raw total energies: -499 meV per atom
# Fermi-level density of states: 10.09 states/eV/f.u.
data_Ce2ZnCu3Si4
_chemical_formula_sum 'Ce2 Zn1 Cu3 Si4'
_symmetry_space_group_name_H-M 'P -4 m 2'
_symmetry_Int_Tables_number 115
_cell_length_a 4.134
_cell_length_b 4.134
_cell_length_c 9.822
_cell_angle_alpha 90.00
_cell_angle_beta 90.00
_cell_angle_gamma 90.00
loop_
_symmetry_equiv_pos_as_xyz
'x,y,z'
'y,-x,-z'
'-x,-y,z'
'-y,x,-z'
'-x,y,z'
'-y,-x,-z'
'x,-y,z'
'y,x,-z'
loop_
_atom_site_label
_atom_site_type_symbol
_atom_site_fract_x
_atom_site_fract_y
_atom_site_fract_z
Ce1 Ce 0.000 0.500 0.246
Zn1 Zn 0.000 0.000 0.500
Cu1 Cu 0.000 0.500 0.877
Cu2 Cu 0.500 0.500 0.500
Si1 Si 0.000 0.000 0.000
Si2 Si 0.000 0.500 0.639
Si3 Si 0.500 0.500 0.000

=====

[4]
# MgCd2Co | Alexandria via LeMat-Bulk | PBE | optimized geometry
# spin magnetization: 0.37 μB/atom
# Fermi-level density of states: 4.07 states/eV/f.u.
# energy of formation: 0.25 eV per atom
data_MgCd2Co
_chemical_formula_sum 'Mg3 Cd6 Co3'
_symmetry_space_group_name_H-M 'R -3 m'
_symmetry_Int_Tables_number 166
_symmetry_space_group_name_Hall '-R 3 2"'
_cell_length_a 3.0221
_cell_length_b 3.0221
_cell_length_c 28.4240
_cell_angle_alpha 90.00
_cell_angle_beta 90.00
_cell_angle_gamma 120.00
loop_
_atom_site_label
_atom_site_type_symbol
_atom_site_fract_x
_atom_site_fract_y
_atom_site_fract_z
Mg1 Mg 0.0000 0.0000 0.0000
Cd1 Cd 0.0000 0.0000 0.2417
Co1 Co 0.0000 0.0000 0.5000

=====

[5]
# Ac4Pm2O | Alexandria via LeMat-Bulk | PBE | optimized geometry
# spin magnetization: 0.00 μB/atom
# formation energy from raw total energies: -549 meV per atom
# Fermi-level density of states: 9.87 states/eV/f.u.
data_Ac4Pm2O
_chemical_formula_sum 'Ac8 Pm4 O2'
_symmetry_space_group_name_H-M 'I 4/m m m'
_symmetry_Int_Tables_number 139
_symmetry_space_group_name_Hall '-I 4 2'
_cell_length_a 5.316
_cell_length_b 5.316
_cell_length_c 18.361
_cell_angle_alpha 90.00
_cell_angle_beta 90.00
_cell_angle_gamma 90.00
loop_
_atom_site_label
_atom_site_type_symbol
_atom_site_fract_x
_atom_site_fract_y
_atom_site_fract_z
Ac1 Ac 0.000 0.000 0.145
Ac2 Ac 0.000 0.500 0.000
Pm1 Pm 0.000 0.000 0.352
O1 O 0.000 0.000 0.000

=====

[6]
# Sb2IrOs | Alexandria via LeMat-Bulk | PBE | optimized geometry
# spin magnetization: 0.00 μB/atom
# formation energy from raw total energies: 407 meV per atom
# Fermi-level density of states: 2.50 states/eV/f.u.
# energy above the most stable polymorph in this dataset: 173 meV/atom
data_Sb2IrOs
_chemical_formula_sum 'Sb4 Ir2 Os2'
_symmetry_space_group_name_H-M 'C 1 2/m 1'
_symmetry_Int_Tables_number 12
_cell_length_a 8.439
_cell_length_b 3.241
_cell_length_c 5.512
_cell_angle_alpha 90.00
_cell_angle_beta 102.83
_cell_angle_gamma 90.00
loop_
_symmetry_equiv_pos_as_xyz
'x,y,z'
'-x,-y,-z'
'-x,y,-z'
'x,-y,z'
'x+1/2,y+1/2,z'
'-x+1/2,-y+1/2,-z'
'-x+1/2,y+1/2,-z'
'x+1/2,-y+1/2,z'
loop_
_atom_site_label
_atom_site_type_symbol
_atom_site_fract_x
_atom_site_fract_y
_atom_site_fract_z
Sb1 Sb 0.248 0.000 0.246
Ir1 Ir 0.000 0.000 0.500
Os1 Os 0.000 0.500 0.000

=====

[7]
# FeSi2Pt | Alexandria via LeMat-Bulk | PBE | optimized geometry
# spin magnetization: 0.03 μB/atom
# formation energy from raw total energies: -427 meV per atom
# Fermi-level density of states: 1.08 states/eV/f.u.
data_FeSi2Pt
_chemical_formula_sum 'Fe2 Si4 Pt2'
_symmetry_space_group_name_H-M 'C 1 m 1'
_symmetry_Int_Tables_number 8
_cell_length_a 8.221
_cell_length_b 3.062
_cell_length_c 4.245
_cell_angle_alpha 90.00
_cell_angle_beta 104.57
_cell_angle_gamma 90.00
loop_
_symmetry_equiv_pos_as_xyz
'x,y,z'
'x,-y,z'
'x+1/2,y+1/2,z'
'x+1/2,-y+1/2,z'
loop_
_atom_site_label
_atom_site_type_symbol
_atom_site_fract_x
_atom_site_fract_y
_atom_site_fract_z
Fe1 Fe 0.000 0.000 0.000
Si1 Si 0.227 0.500 0.079
Si2 Si 0.485 0.000 0.420
Pt1 Pt 0.230 0.000 0.596

=====

[8]
# HoInBr | Alexandria via LeMat-Bulk | PBE | optimized geometry
# spin magnetization: 0.00 μB/atom
# formation energy from raw total energies: -773 meV per atom
# Fermi-level density of states: 1.17 states/eV/f.u.
data_HoInBr
_chemical_formula_sum 'Ho2 In2 Br2'
_symmetry_space_group_name_H-M 'P -1'
_symmetry_Int_Tables_number 2
_cell_length_a 3.969
_cell_length_b 5.422
_cell_length_c 7.870
_cell_angle_alpha 86.93
_cell_angle_beta 89.79
_cell_angle_gamma 89.76
loop_
_symmetry_equiv_pos_as_xyz
'x,y,z'
'-x,-y,-z'
loop_
_atom_site_label
_atom_site_type_symbol
_atom_site_fract_x
_atom_site_fract_y
_atom_site_fract_z
Ho1 Ho 0.250 0.048 0.281
In1 In 0.250 0.400 0.618
Br1 Br 0.250 0.756 0.959

=====

[9]
# Ho4Ag3Hg | Alexandria via LeMat-Bulk | PBE | optimized geometry
# spin magnetization: 0.00 μB/atom
# Fermi-level density of states: 7.27 states/eV/f.u.
# energy above the most stable polymorph in this dataset: 43 meV/atom
# energy of formation: -0.32 eV per atom
data_Ho4Ag3Hg
_chemical_formula_sum 'Ho4 Ag3 Hg1'
_symmetry_space_group_name_H-M 'P m m 2'
_symmetry_Int_Tables_number 25
_cell_length_a 3.661
_cell_length_b 4.838
_cell_length_c 11.194
_cell_angle_alpha 90.00
_cell_angle_beta 90.00
_cell_angle_gamma 90.00
loop_
_symmetry_equiv_pos_as_xyz
'x,y,z'
'-x,-y,z'
'-x,y,z'
'x,-y,z'
loop_
_atom_site_label
_atom_site_type_symbol
_atom_site_fract_x
_atom_site_fract_y
_atom_site_fract_z
Ho1 Ho 0.000 0.000 0.000
Ho2 Ho 0.000 0.500 0.282
Ho3 Ho 0.500 0.000 0.490
Ho4 Ho 0.500 0.500 0.788
Ag1 Ag 0.000 0.500 0.556
Ag2 Ag 0.500 0.000 0.220
Ag3 Ag 0.500 0.500 0.061
Hg1 Hg 0.000 0.000 0.723

=====

[10]
# BaIn6Cu | Alexandria via LeMat-Bulk | PBE | optimized geometry
# spin magnetization: 0.00 μB/atom
# Fermi-level density of states: 4.24 states/eV/f.u.
# energy of formation: -0.20 eV per atom
data_BaIn6Cu
_chemical_formula_sum 'Ba1 In6 Cu1'
_symmetry_space_group_name_H-M 'P 4/m m m'
_symmetry_Int_Tables_number 123
_symmetry_space_group_name_Hall '-P 4 2'
_cell_length_a 4.920
_cell_length_b 4.920
_cell_length_c 9.133
_cell_angle_alpha 90.00
_cell_angle_beta 90.00
_cell_angle_gamma 90.00
loop_
_atom_site_label
_atom_site_type_symbol
_atom_site_fract_x
_atom_site_fract_y
_atom_site_fract_z
Ba1 Ba 0.000 0.000 0.000
In1 In 0.000 0.500 0.338
In2 In 0.500 0.500 0.155
Cu1 Cu 0.000 0.000 0.500

=====

[11]
# Ce3Tl4PdSe8 | Alexandria via LeMat-Bulk | PBE | optimized geometry
# spin magnetization: 0.10 μB/atom
# formation energy from raw total energies: -1045 meV per atom
# Fermi-level density of states: 15.87 states/eV/f.u.
data_Ce3Tl4PdSe8
_chemical_formula_sum 'Ce6 Tl8 Pd2 Se16'
_symmetry_space_group_name_H-M 'C 1 2/m 1'
_symmetry_Int_Tables_number 12
_cell_length_a 14.846
_cell_length_b 8.242
_cell_length_c 9.120
_cell_angle_alpha 90.00
_cell_angle_beta 121.42
_cell_angle_gamma 90.00
loop_
_symmetry_equiv_pos_as_xyz
'x,y,z'
'-x,-y,-z'
'-x,y,-z'
'x,-y,z'
'x+1/2,y+1/2,z'
'-x+1/2,-y+1/2,-z'
'-x+1/2,y+1/2,-z'
'x+1/2,-y+1/2,z'
loop_
_atom_site_label
_atom_site_type_symbol
_atom_site_fract_x
_atom_site_fract_y
_atom_site_fract_z
Ce1 Ce 0.000 0.000 0.000
Ce2 Ce 0.250 0.250 0.000
Tl1 Tl 0.000 0.000 0.500
Tl2 Tl 0.000 0.500 0.500
Tl3 Tl 0.250 0.250 0.500
Pd1 Pd 0.000 0.500 0.000
Se1 Se 0.016 0.272 0.810
Se2 Se 0.234 0.000 0.211
Se3 Se 0.242 0.000 0.776

=====

[12]
# YSc2Zn | Alexandria via LeMat-Bulk | PBE | optimized geometry
# spin magnetization: 0.00 μB/atom
# Fermi-level density of states: 1.68 states/eV/f.u.
# energy of formation: 0.07 eV per atom
data_YSc2Zn
_chemical_formula_sum 'Y4 Sc8 Zn4'
_symmetry_space_group_name_H-M 'I -4 2 d'
_symmetry_Int_Tables_number 122
_symmetry_space_group_name_Hall 'I -4 2bw'
_cell_length_a 8.066
_cell_length_b 8.066
_cell_length_c 6.081
_cell_angle_alpha 90.00
_cell_angle_beta 90.00
_cell_angle_gamma 90.00
loop_
_atom_site_label
_atom_site_type_symbol
_atom_site_fract_x
_atom_site_fract_y
_atom_site_fract_z
Y1 Y 0.000 0.000 0.000
Sc1 Sc 0.198 0.250 0.625
Zn1 Zn 0.000 0.000 0.500